Mg7Zn2Cd3 | PBE | relaxed

It has space group Cmmm (No. 65), with a = 4.648 Å, b = 24.920 Å, c = 4.704 Å, α = 90.00°, β = 90.00° and γ = 90.00°. Symmetry generates all atoms from Mg at (0.000, 0.000, 0.000), Mg at (0.000, 0.081, 0.500), Mg at (0.000, 0.282, 0.000), Mg at (0.000, 0.417, 0.000), Zn at (0.000, 0.156, 0.000), Cd at (0.000, 0.344, 0.500) and Cd at (0.000, 0.500, 0.500).

The calculation puts the calculated formation energy at 42 meV per atom.



ScMoCl2 | PBE | relaxed

It has space group Pm (No. 6), with a = 3.679 Å, b = 3.208 Å, c = 7.543 Å, α = 90.00°, β = 103.83° and γ = 90.00°. Symmetry generates all atoms from Sc at (0.000, 0.000, 0.000), Mo at (0.599, 0.500, 0.202), Cl at (0.426, 0.500, 0.848) and Cl at (0.723, 0.000, 0.453).

The formation energy without anion corrections is -0.6124 eV/atom. For the polymorph energy (0 for the lowest one), the calculation gives 198 meV/atom.



Pm2CdHg2Pd5 | PBE | relaxed

It has space group P4/mbm (No. 127), with a = 10.214 Å, b = 10.214 Å, c = 3.965 Å, α = 90.00°, β = 90.00° and γ = 90.00°. Symmetry generates all atoms from Pm at (0.169, 0.331, 0.000), Cd at (0.000, 0.000, 0.000), Hg at (0.130, 0.630, 0.000), Pd at (0.000, 0.500, 0.500) and Pd at (0.041, 0.800, 0.500).

The calculation puts the calculated formation energy at -456 meV per atom.



LiNdSc2Pd4 | PBE | relaxed

It has space group R-3m (No. 166, hexagonal axes), with a = 4.5953 Å, b = 4.5953 Å, c = 25.0840 Å, α = 90.00°, β = 90.00° and γ = 120.00°. Symmetry generates all atoms from Li at (0.0000, 0.0000, 0.0000), Nd at (0.0000, 0.0000, 0.5000), Sc at (0.0000, 0.0000, 0.2653), Pd at (0.0000, 0.0000, 0.1035) and Pd at (0.0000, 0.0000, 0.3740).

The calculation puts the calculated formation energy at -745 meV per atom.



CePr2Ni2 | PBE | relaxed

It has space group Immm (No. 71), with a = 3.796 Å, b = 6.312 Å, c = 9.971 Å, α = 90.00°, β = 90.00° and γ = 90.00°. Symmetry generates all atoms from Ce at (0.000, 0.000, 0.000), Pr at (0.000, 0.500, 0.195) and Ni at (0.000, 0.207, 0.500).

The calculation puts the calculated formation energy at -253 meV per atom.



AgOs2W2 | PBE | relaxed

It has space group P4/mbm (No. 127), with a = 7.662 Å, b = 7.662 Å, c = 2.833 Å, α = 90.00°, β = 90.00° and γ = 90.00°. Symmetry generates all atoms from Ag at (0.000, 0.000, 0.000), Os at (0.136, 0.364, 0.000) and W at (0.156, 0.656, 0.500).

The calculation puts the calculated formation energy at 287 meV per atom.



YTiCu | PBE | relaxed

It has space group F-43m (No. 216), with a = 6.617 Å, b = 6.617 Å, c = 6.617 Å, α = 90.00°, β = 90.00° and γ = 90.00°. Symmetry generates all atoms from Y at (0.000, 0.000, 0.000), Ti at (0.250, 0.250, 0.750) and Cu at (0.250, 0.250, 0.250).

The calculation puts the calculated formation energy at 1041 meV per atom. For the polymorph energy (0 for the lowest one), the calculation gives 1074 meV/atom.



Total energy across the listed records, respectively: -1.329, -5.826, -4.155, -5.760, -5.664, -9.956, -5.111 eV per atom.